Record 1
Compound: IrO3
Source: OQMD via LeMat-Bulk
Functional: GGA-PBE
Structure: optimized geometry

The structure in extended XYZ format:
```
8
Lattice="-2.524 -4.253 0.133 -2.524 4.253 0.133 1.937 0.000 -4.649" Properties=species:S:1:pos:R:3 pbc="T T T"
Ir -2.524 2.711 0.133
Ir -1.555 -4.128 -2.191
O -3.482 -1.265 -0.857
O -3.301 1.418 -0.963
O -0.597 -0.152 -1.202
O -2.513 -0.152 -3.181
O 0.190 1.418 -3.420
O 0.372 -1.265 -3.526
```

calculated density: 8.17 g/cm3
space group: C2/c (15)
DFT total energy: -6.40 eV/atom



Record 2
Compound: LiCdFeAs
Source: OQMD via LeMat-Bulk
Functional: GGA-PBE
Structure: optimized geometry

The structure in extended XYZ format:
```
4
Lattice="0.000 3.150 3.150 3.150 0.000 3.150 3.150 3.150 0.000" Properties=species:S:1:pos:R:3 pbc="T T T"
As 0.000 0.000 0.000
Cd 1.575 1.575 1.575
Fe 4.725 4.725 4.725
Li 3.150 3.150 3.150
```

calculated density: 6.64 g/cm3
space group: F-43m (216)
DFT total energy: -3.73 eV/atom



Record 3
Compound: Nd4DyFe2B6
Source: OQMD via LeMat-Bulk
Functional: GGA-PBE
Structure: optimized geometry

The structure in extended XYZ format:
```
13
Lattice="2.730 1.576 8.101 -2.730 1.576 8.101 0.000 -3.152 8.101" Properties=species:S:1:pos:R:3 pbc="T T T"
B 0.911 1.578 12.151
B -0.911 1.578 12.151
B 1.822 0.000 12.151
B -1.822 0.000 12.151
B 0.911 -1.578 12.151
B -0.911 -1.578 12.151
Dy 0.000 0.000 0.000
Fe 0.000 0.000 2.967
Fe 0.000 0.000 21.336
Nd 0.000 0.000 6.113
Nd 0.000 0.000 10.127
Nd 0.000 0.000 14.176
Nd 0.000 0.000 18.189
```

calculated density: 7.28 g/cm3
space group: R-3m (166)
DFT total energy: -6.58 eV/atom



Record 4
Compound: ScUPd
Source: OQMD via LeMat-Bulk
Functional: GGA-PBE
Structure: optimized geometry

The structure in extended XYZ format:
```
3
Lattice="0.000 3.259 3.259 3.259 0.000 3.259 3.259 3.259 0.000" Properties=species:S:1:pos:R:3 pbc="T T T"
Pd 0.000 0.000 0.000
Sc 1.629 1.629 1.629
U 4.888 4.888 4.888
```

calculated density: 9.34 g/cm3
formation energy from the elements: 0.62 eV/f.u.
space group: F-43m (216)



Record 5
Compound: MgNiAsW
Source: OQMD via LeMat-Bulk
Functional: GGA-PBE
Structure: optimized geometry

The structure in extended XYZ format:
```
4
Lattice="0.000 3.149 3.149 3.149 0.000 3.149 3.149 3.149 0.000" Properties=species:S:1:pos:R:3 pbc="T T T"
As 0.000 0.000 0.000
Mg 1.574 1.574 1.574
Ni 4.723 4.723 4.723
W 3.149 3.149 3.149
```

calculated density: 9.09 g/cm3
space group: F-43m (216)
DFT total energy: -5.43 eV/atom



Record 6
Compound: AcHo
Source: OQMD via LeMat-Bulk
Functional: GGA-PBE
Structure: optimized geometry

The structure in extended XYZ format:
```
2
Lattice="0.000 3.712 3.712 3.712 0.000 3.712 3.712 3.712 0.000" Properties=species:S:1:pos:R:3 pbc="T T T"
Ac 0.000 0.000 0.000
Ho 1.856 1.856 1.856
```

calculated density: 6.36 g/cm3
formation energy from the elements: 3.54 eV/f.u.
space group: F-43m (216)